# 1
Compound: NaMg2CdRh
Source: Alexandria via LeMat-Bulk
Functional: PBE
Structure: relaxed

Calculated values
* M_tot: 0.00 μB per cell

abc: 4.9684 4.9684 5.2639
angles: 90.00 90.00 90.00
With the nearest neighbours (Å) after each atom.
Space group P4/mmm (No. 123)
Symmetry-distinct sites (fractional):
Na: 0.0000 0.0000 0.0000 [1 per cell]  4 Cd 3.51, 8 Mg 3.62
Mg: 0.0000 0.5000 0.5000 [2 per cell]  2 Rh 2.48
Cd: 0.5000 0.5000 0.0000 [1 per cell]  2 Rh 2.63
Rh: 0.5000 0.5000 0.5000 [1 per cell]  4 Mg 2.48, 2 Cd 2.63

***

# 2
Compound: NaMgCd2Rh
Source: Alexandria via LeMat-Bulk
Functional: PBE
Structure: relaxed

Calculated values
* M_tot: 0.00 μB per cell

abc: 5.2305 5.2305 4.9184
angles: 90.00 90.00 90.00
With the nearest neighbours (Å) after each atom.
Space group P4/mmm (No. 123)
Symmetry-distinct sites (fractional):
Na: 0.0000 0.0000 0.0000 [1 per cell]  8 Cd 3.59, 4 Mg 3.70
Mg: 0.5000 0.5000 0.0000 [1 per cell]  2 Rh 2.46
Cd: 0.0000 0.5000 0.5000 [2 per cell]  2 Rh 2.62
Rh: 0.5000 0.5000 0.5000 [1 per cell]  2 Mg 2.46, 4 Cd 2.62

***

# 3
Compound: NaMg2CdRu
Source: Alexandria via LeMat-Bulk
Functional: PBE
Structure: relaxed

Calculated values
* M_tot: 1.78 μB per cell

abc: 4.8926 4.8926 4.8786
angles: 90.00 90.00 90.00
With the nearest neighbours (Å) after each atom.
Space group P4/mmm (No. 123)
Symmetry-distinct sites (fractional):
Na: 0.0000 0.0000 0.0000 [1 per cell]  2 Cd 2.44, 4 Mg 2.45
Mg: 0.0000 0.5000 0.0000 [2 per cell]  2 Na 2.45
Cd: 0.0000 0.0000 0.5000 [1 per cell]  2 Na 2.44
Ru: 0.5000 0.5000 0.5000 [1 per cell]  8 Mg 3.45, 4 Cd 3.46

***

Energy of formation from the pure elements values (in eV/f.u.) by entry order: -0.520 -0.315 6.407.